Entry i
LiPm3Al | Alexandria via LeMat-Bulk | PBE | relaxed; magnetization = 0.00 μB per formula unit; space group = Cmcm, No. 63
1.0
2.622 -10.105 0.000
2.622 10.105 0.000
0.000 0.000 5.236
Li Pm Al
2 6 2
Direct
0.158 0.842 0.750 Li
0.842 0.158 0.250 Li
0.065 0.935 0.250 Pm
0.250 0.750 0.250 Pm
0.435 0.565 0.250 Pm
0.565 0.435 0.750 Pm
0.750 0.250 0.750 Pm
0.935 0.065 0.750 Pm
0.341 0.659 0.750 Al
0.659 0.341 0.250 Al

Entry ii
LiPm3Al | Alexandria via LeMat-Bulk | PBE | relaxed; magnetization = 0.00 μB per formula unit; space group = Pmmn, No. 59
1.0
4.775 0.000 0.000
0.000 6.883 0.000
0.000 0.000 9.342
Li Pm Al
2 6 2
Direct
0.250 0.250 0.075 Li
0.750 0.750 0.925 Li
0.250 0.008 0.774 Pm
0.250 0.250 0.436 Pm
0.250 0.492 0.774 Pm
0.750 0.508 0.226 Pm
0.750 0.750 0.564 Pm
0.750 0.992 0.226 Pm
0.250 0.750 0.364 Al
0.750 0.250 0.636 Al

Least stable structure among those shown: entry ii.